4
Lattice="0.0000 3.5545 3.5545 3.5545 0.0000 3.5545 3.5545 3.5545 0.0000" Properties=species:S:1:pos:R:3 comment="PrErBeZn PBE optimized geometry" ef_mev_per_atom=-56.6 space_group=F-43m energy_ev_per_atom=-3.642 pbc="T T T"
Pr 0.0000 0.0000 0.0000
Er 3.5545 3.5545 3.5545
Be 5.3317 5.3317 5.3317
Zn 1.7772 1.7772 1.7772

=====

4
Lattice="3.7478 -2.1753 0.0000 3.7478 2.1753 0.0000 -2.5284 0.0000 6.5526" Properties=species:S:1:pos:R:3 comment="TlCd2As PBE optimized geometry" ef_mev_per_atom=40.3 relative_energy_ev_per_atom=0.027 space_group=C2/m energy_ev_per_atom=-2.171 pbc="T T T"
Tl 0.0000 0.0000 0.0000
Cd -0.0230 0.0000 4.5509
Cd 4.9902 0.0000 2.0018
As 2.4836 0.0000 3.2763

=====

11
Lattice="9.4529 -2.7211 0.0000 9.4529 2.7211 0.0000 -0.4806 0.0000 6.8413" Properties=species:S:1:pos:R:3 comment="La2Dy8Cd PBE optimized geometry" ef_mev_per_atom=7.9 space_group=C2/m energy_ev_per_atom=-4.318 pbc="T T T"
La 4.0911 0.0000 1.1314
La 14.3340 0.0000 5.7099
Dy 0.5406 0.0000 1.7146
Dy 2.6503 0.0000 4.6027
Dy 6.2189 0.0000 4.0463
Dy 7.7423 0.0000 0.5552
Dy 10.6829 0.0000 6.2861
Dy 12.2063 0.0000 2.7949
Dy 15.7749 0.0000 2.2386
Dy 17.8845 0.0000 5.1266
Cd 9.2126 0.0000 3.4206

=====

4
Lattice="-2.1711 2.1711 3.8724 2.1711 -2.1711 3.8724 2.1711 2.1711 -3.8724" Properties=species:S:1:pos:R:3 comment="Be2HgBr PBE optimized geometry" e_form_raw_ev_per_fu=3.87 relative_energy_ev_per_atom=0.780 space_group=I4/mmm energy_ev_per_atom=-1.389 pbc="T T T"
Be 2.1711 0.0000 1.9362
Be 0.0000 2.1711 1.9362
Hg 0.0000 0.0000 0.0000
Br 0.0000 0.0000 3.8724

=====

12
Lattice="9.0364 -2.0647 0.0000 9.0364 2.0647 0.0000 -1.9229 0.0000 8.1086" Properties=species:S:1:pos:R:3 comment="Ac2CeNd3S6 PBE optimized geometry" e_form_raw_ev_per_fu=-24.11 space_group=C2/m energy_ev_per_atom=-6.444 pbc="T T T"
Ac 2.3385 0.0000 2.6822
Ac 13.8114 0.0000 5.4265
Ce 9.0364 0.0000 0.0000
Nd 1.4159 0.0000 6.7838
Nd 8.0750 0.0000 4.0543
Nd 14.7340 0.0000 1.3248
S -1.3685 0.0000 6.1109
S 4.2607 0.0000 7.5130
S 5.2873 0.0000 3.3034
S 10.8626 0.0000 4.8052
S 11.8892 0.0000 0.5956
S 17.5184 0.0000 1.9978

=====

9
Lattice="5.6086 0.0000 0.0000 0.0000 5.6086 0.0000 0.0000 0.0000 9.5098" Properties=species:S:1:pos:R:3 comment="Rb5PdClO2 PBE optimized geometry" e_form_raw_ev_per_fu=-9.19 space_group=P4/mmm energy_ev_per_atom=-3.442 pbc="T T T"
Rb 0.0000 0.0000 0.0000
Rb 0.0000 2.8043 2.7214
Rb 0.0000 2.8043 6.7884
Rb 2.8043 0.0000 2.7214
Rb 2.8043 0.0000 6.7884
Pd 0.0000 0.0000 4.7549
Cl 2.8043 2.8043 0.0000
O 0.0000 0.0000 2.6622
O 0.0000 0.0000 6.8475

=====

7
Lattice="-1.6414 2.1861 9.3767 1.6414 -2.1861 9.3767 1.6414 2.1861 -9.3767" Properties=species:S:1:pos:R:3 comment="Sc3Al3Zn PBE optimized geometry" ef_mev_per_atom=-417.3 space_group=Imm2 energy_ev_per_atom=-4.917 pbc="T T T"
Sc 0.0000 0.0000 0.0000
Sc 0.0000 0.0000 7.4891
Sc 0.0000 2.1861 3.7623
Al 1.6414 0.0000 2.5226
Al 0.0000 0.0000 10.4690
Al 0.0000 0.0000 15.7757
Zn 1.6414 0.0000 5.0431

=====

11
Lattice="6.9414 0.0000 0.0000 0.0000 5.5529 0.0000 -3.2172 0.0000 9.2992" Properties=species:S:1:pos:R:3 comment="LaDy7Er3 PBE optimized geometry" ef_mev_per_atom=141.8 relative_energy_ev_per_atom=0.000 space_group=P2/m energy_ev_per_atom=-4.479 pbc="T T T"
La 0.0000 0.0000 0.0000
Dy -1.6086 0.0000 4.6496
Dy -1.5270 2.7765 7.3404
Dy 1.8258 2.7765 1.3317
Dy 1.8984 0.0000 3.0913
Dy 1.8258 0.0000 6.2079
Dy 1.8984 2.7765 7.9675
Dy 5.2513 2.7765 1.9587
Er 0.3194 2.7765 4.6067
Er 3.4707 0.0000 0.0000
Er 3.4048 2.7765 4.6925

=====

5
Lattice="4.8515 0.0000 0.0000 0.0000 4.8515 0.0000 0.0000 0.0000 4.9247" Properties=species:S:1:pos:R:3 comment="NaYInCo2 PBE optimized geometry" ef_mev_per_atom=818.8 space_group=P4/mmm energy_ev_per_atom=-4.128 pbc="T T T"
Na 0.0000 0.0000 0.0000
Y 2.4257 2.4257 0.0000
In 0.0000 0.0000 2.4623
Co 0.0000 2.4257 2.4623
Co 2.4257 0.0000 2.4623

=====

4
Lattice="2.7809 0.0000 0.0000 0.0000 4.5268 0.0000 0.0000 0.0000 4.7109" Properties=species:S:1:pos:R:3 comment="LiAgRh2 PBE optimized geometry" ef_mev_per_atom=23.8 relative_energy_ev_per_atom=0.027 space_group=Pmmm energy_ev_per_atom=-4.843 pbc="T T T"
Li 0.0000 0.0000 0.0000
Ag 1.3905 2.2634 0.0000
Rh 0.0000 2.2634 2.3554
Rh 1.3905 0.0000 2.3554

=====

4
Lattice="3.8112 0.0000 0.0000 0.0000 5.1327 0.0000 -0.0065 0.0000 5.5394" Properties=species:S:1:pos:R:3 comment="La2CuHg PBE optimized geometry" ef_mev_per_atom=-282.8 space_group=Pm energy_ev_per_atom=-3.846 pbc="T T T"
La 0.0000 0.0000 0.0000
La 0.0090 2.5664 3.1266
Cu 1.9122 0.0000 2.5675
Hg 1.9091 2.5664 0.5142

=====

4
Lattice="0.0000 3.2543 3.2543 3.2543 0.0000 3.2543 3.2543 3.2543 0.0000" Properties=species:S:1:pos:R:3 comment="ZnHg2C PBE optimized geometry" ef_mev_per_atom=1420.2 relative_energy_ev_per_atom=0.520 space_group=Fm-3m energy_ev_per_atom=-1.355 pbc="T T T"
Zn 0.0000 0.0000 0.0000
Hg 1.6271 1.6271 1.6271
Hg 4.8814 4.8814 4.8814
C 3.2543 3.2543 3.2543

=====

18
Lattice="6.9793 0.0000 0.0000 -3.4897 6.0443 0.0000 0.0000 0.0000 13.9289" Properties=species:S:1:pos:R:3 comment="PrMgTlCl6 PBE optimized geometry" e_form_raw_ev_per_fu=-16.74 space_group=P-31c energy_ev_per_atom=-4.063 pbc="T T T"
Pr 0.0000 4.0295 3.4822
Pr 3.4897 2.0148 10.4467
Mg 0.0000 4.0295 10.4467
Mg 3.4897 2.0148 3.4822
Tl 0.0000 0.0000 0.0000
Tl 0.0000 0.0000 6.9645
Cl -1.1676 2.3312 8.9579
Cl -2.0546 3.8675 11.9355
Cl 1.1676 2.3312 11.9355
Cl -0.8870 5.8899 8.9579
Cl 2.6027 0.1544 1.9934
Cl 1.4351 2.1768 4.9710
Cl 2.0546 3.8675 8.9579
Cl 0.8870 5.8899 11.9355
Cl 4.3767 0.1544 4.9710
Cl 2.3221 3.7131 1.9934
Cl 5.5443 2.1768 1.9934
Cl 4.6573 3.7131 4.9710

=====

8
Lattice="4.9589 0.0000 0.0000 -2.4795 4.2946 0.0000 0.0000 0.0000 12.2748" Properties=species:S:1:pos:R:3 comment="NaHg2Sb PBE optimized geometry" e_form_raw_ev_per_fu=-0.36 space_group=P-3m1 energy_ev_per_atom=-1.602 pbc="T T T"
Na 0.0000 2.8630 5.3141
Na 2.4795 1.4315 6.9607
Hg 0.0000 0.0000 4.1055
Hg 0.0000 0.0000 8.1693
Hg 0.0000 2.8630 11.8430
Hg 2.4795 1.4315 0.4317
Sb 0.0000 2.8630 8.6992
Sb 2.4795 1.4315 3.5755

=====

10
Lattice="3.2762 0.0000 0.0000 0.0000 3.2762 0.0000 0.0000 0.0000 16.3503" Properties=species:S:1:pos:R:3 comment="Hf5Re4Ir PBE optimized geometry" ef_mev_per_atom=-483.3 space_group=P4/mmm energy_ev_per_atom=-11.325 pbc="T T T"
Hf 0.0000 0.0000 0.0000
Hf 0.0000 0.0000 3.2836
Hf 0.0000 0.0000 6.5181
Hf 0.0000 0.0000 9.8322
Hf 0.0000 0.0000 13.0667
Re 1.6381 1.6381 1.6337
Re 1.6381 1.6381 4.9303
Re 1.6381 1.6381 11.4200
Re 1.6381 1.6381 14.7166
Ir 1.6381 1.6381 8.1752

=====

4
Lattice="1.5860 0.9157 8.8955 -1.5860 0.9157 8.8955 0.0000 -1.8313 8.8955" Properties=species:S:1:pos:R:3 comment="Hf2MnS PBE optimized geometry" e_form_raw_ev_per_fu=-0.23 space_group=R-3m energy_ev_per_atom=-8.359 pbc="T T T"
Hf 0.0000 0.0000 2.5921
Hf 0.0000 0.0000 24.0944
Mn 0.0000 0.0000 0.0000
S 0.0000 0.0000 13.3433

=====

6
Lattice="0.0000 3.9274 3.9274 3.9274 0.0000 3.9274 3.9274 3.9274 0.0000" Properties=species:S:1:pos:R:3 comment="Mg4BeSi PBE optimized geometry" e_form_raw_ev_per_fu=3.49 space_group=F-43m energy_ev_per_atom=-2.006 pbc="T T T"
Mg 0.9827 0.9827 0.9827
Mg 2.9447 2.9447 0.9827
Mg 2.9447 0.9827 2.9447
Mg 0.9827 2.9447 2.9447
Be 3.9274 3.9274 3.9274
Si 5.8910 5.8910 5.8910

=====

5
Lattice="5.0422 0.0000 0.0000 0.0000 5.0422 0.0000 0.0000 0.0000 3.3157" Properties=species:S:1:pos:R:3 comment="Li2ZrAlH PBE optimized geometry" relative_energy_ev_per_atom=0.795 space_group=P4/mmm energy_ev_per_atom=-3.327 pbc="T T T"
Li 0.0000 2.5211 0.0000
Li 2.5211 0.0000 0.0000
Zr 0.0000 0.0000 1.6578
Al 2.5211 2.5211 0.0000
H 2.5211 2.5211 1.6578

=====

14
Lattice="5.5584 0.0000 0.0000 -2.7792 4.8138 0.0000 0.0000 0.0000 10.4954" Properties=species:S:1:pos:R:3 comment="Ca3GaPd8Pb2 PBE optimized geometry" ef_mev_per_atom=-528.0 space_group=P-3m1 energy_ev_per_atom=-4.670 pbc="T T T"
Ca 0.0000 0.0000 0.0000
Ca 0.0000 3.2092 5.9180
Ca 2.7792 1.6046 4.5773
Ga 0.0000 0.0000 5.2477
Pd 0.0000 1.5833 3.2260
Pd -1.4080 4.0221 3.2260
Pd 1.3712 0.7917 7.2694
Pd 0.0000 3.2092 8.7877
Pd 2.7792 1.6046 1.7077
Pd 1.4080 4.0221 3.2260
Pd 4.1872 0.7917 7.2694
Pd 2.7792 3.2304 7.2694
Pb 0.0000 3.2092 0.9987
Pb 2.7792 1.6046 9.4967

=====

18
Lattice="9.1474 0.0000 0.0000 -4.5737 7.9219 0.0000 0.0000 0.0000 6.5275" Properties=species:S:1:pos:R:3 comment="Na3Hg5Sb PBE optimized geometry" e_form_raw_ev_per_fu=-1.91 space_group=P6_3/mcm energy_ev_per_atom=-1.277 pbc="T T T"
Na -1.6055 2.7809 1.6319
Na -2.9682 5.1410 4.8956
Na 3.2111 0.0000 1.6319
Na 1.6055 2.7809 4.8956
Na 5.9363 0.0000 4.8956
Na 2.9682 5.1410 1.6319
Hg -1.4369 2.4888 4.8956
Hg -3.1368 5.4331 1.6319
Hg 2.8738 0.0000 4.8956
Hg 1.4369 2.4888 1.6319
Hg 0.0000 5.2813 0.0000
Hg 0.0000 5.2813 3.2637
Hg 4.5737 2.6406 0.0000
Hg 4.5737 2.6406 3.2637
Hg 6.2736 0.0000 1.6319
Hg 3.1368 5.4331 4.8956
Sb 0.0000 0.0000 0.0000
Sb 0.0000 0.0000 3.2637

=====

5
Lattice="5.7596 0.0000 0.0000 0.0000 5.7596 0.0000 0.0000 0.0000 5.3130" Properties=species:S:1:pos:R:3 comment="BaSi2TePt PBE optimized geometry" e_form_raw_ev_per_fu=8.08 space_group=P4/mmm energy_ev_per_atom=-2.775 pbc="T T T"
Ba 0.0000 0.0000 0.0000
Si 0.0000 2.8798 0.0000
Si 2.8798 0.0000 0.0000
Te 2.8798 2.8798 2.6565
Pt 0.0000 0.0000 2.6565

=====

16
Lattice="6.4570 0.0000 0.0000 0.0000 8.8246 0.0000 -6.4504 0.0000 9.5071" Properties=species:S:1:pos:R:3 comment="K3AuSe4 PBE optimized geometry" e_form_raw_ev_per_fu=-5.60 space_group=Pc energy_ev_per_atom=-3.263 pbc="T T T"
K 0.0000 0.1678 0.0000
K -3.2252 8.6567 4.7535
K -1.7298 3.3102 7.0145
K 1.4954 5.5144 2.2610
K 4.7295 3.3403 2.4924
K 1.5043 5.4842 7.2460
Au -3.2645 0.9165 9.4885
Au -0.0394 7.9080 4.7350
Se 2.6188 3.2757 0.0110
Se -0.6064 5.5488 4.7645
Se 1.4367 2.1397 2.6212
Se -1.7885 6.6848 7.3747
Se 0.2094 1.5173 4.7401
Se -3.0158 7.3073 9.4937
Se 1.4290 2.1014 6.8552
Se 4.6542 6.7231 2.1016

=====

4
Lattice="-1.5782 2.2453 6.7763 1.5782 -2.2453 6.7763 1.5782 2.2453 -6.7763" Properties=species:S:1:pos:R:3 comment="Tl2InNi PBE optimized geometry" ef_mev_per_atom=150.4 space_group=Imm2 energy_ev_per_atom=-3.163 pbc="T T T"
Tl 0.0000 0.0000 0.0000
Tl 0.0000 2.2453 2.4988
In 1.5782 0.0000 4.4077
Ni 0.0000 0.0000 6.6584

=====

12
Lattice="10.0190 -2.3029 0.0000 10.0190 2.3029 0.0000 -2.0093 0.0000 8.9961" Properties=species:S:1:pos:R:3 comment="Ac6SnGe2Se3 PBE optimized geometry" e_form_raw_ev_per_fu=-15.91 space_group=C2/m energy_ev_per_atom=-5.354 pbc="T T T"
Ac -0.4472 0.0000 2.3126
Ac 5.7589 0.0000 3.8060
Ac 4.8183 0.0000 8.1436
Ac 13.2104 0.0000 0.8525
Ac 12.2697 0.0000 5.1900
Ac 18.4759 0.0000 6.6835
Sn 10.0190 0.0000 0.0000
Ge 2.6734 0.0000 3.0130
Ge 15.3553 0.0000 5.9831
Se 1.6553 0.0000 7.4903
Se 9.0143 0.0000 4.4980
Se 16.3734 0.0000 1.5057